First-principles (GGA-PBE) data for a relaxed structure of HfSn2Bi, as listed in Alexandria via LeMat-Bulk.

The energy relative to the elements is 47.3 kJ/mol of atoms. The value obtained for the total moment is 0.000 μB per cell.

The structure belongs to space group I-42d (No. 122); the cell edges are 6.649, 6.649 and 14.062 Å and the angles 90.00°, 90.00° and 90.00°. The asymmetric unit holds Hf at (0.000, 0.000, 0.000), Sn at (0.228, 0.250, 0.125) and Bi at (0.000, 0.000, 0.500).